Record 1
DFT (meta-GGA SCAN) results for a crystal of Rh2AuBr2 relaxed with PBEsol.

Values from the calculation:
uncorrected energy = -172.3 eV per cell
formation energy (no corrections) = 0.663 eV/atom
size of the total moment = 1.6 μB per formula unit

Lattice parameters (Å, degrees): 8.1215 8.1215 8.1215 154.78 154.78 35.97
Sites, in units of the cell vectors:
Rh (0.2500, 0.7500, 0.5000)
Rh (0.7500, 0.2500, 0.5000)
Au (0.0000, 0.0000, 0.0000)
Br (0.3859, 0.3859, 0.0000)
Br (0.6141, 0.6141, 0.0000)

Record 2
DFT (meta-GGA SCAN) results for a crystal of RuAuBr2 relaxed with PBEsol.

Values from the calculation:
uncorrected energy = -142.4 eV per cell
formation energy (no corrections) = 0.130 eV/atom
relative energy among the computed polymorphs = 0 meV per atom
size of the total moment = 0.0 μB per formula unit

Lattice parameters (Å, degrees): 7.4728 7.4728 7.4728 29.04 29.04 29.04
Sites, in units of the cell vectors:
Ru (0.0000, 0.0000, 0.0000)
Au (0.7396, 0.7396, 0.7396)
Br (0.2851, 0.2851, 0.2851)
Br (0.4811, 0.4811, 0.4811)